# 1
Ga2HgSeO6 | Alexandria via LeMat-Bulk | PBE | optimized geometry; crystal system = monoclinic; ΔE_f (raw) = -1.12 eV per atom; size of the total moment = 0.000 Bohr magnetons per cell; space-group type = No. 15
1.0
-5.870 -2.510 0.538
1.118 -6.525 1.397
-1.951 1.695 6.253
O Ga Se Hg
12 4 2 2
direct
0.580 0.117 0.646
0.947 0.332 0.436
0.447 0.436 0.332
0.295 0.223 0.027
0.920 0.354 0.883
0.553 0.564 0.668
0.795 0.027 0.223
0.420 0.883 0.354
0.080 0.646 0.117
0.053 0.668 0.564
0.705 0.777 0.973
0.205 0.973 0.777
0.663 0.288 0.450
0.163 0.450 0.288
0.837 0.550 0.712
0.337 0.712 0.550
0.750 0.780 0.220
0.250 0.220 0.780
0.750 0.106 0.894
0.250 0.894 0.106

***

# 2
LaPm3NdTm | Alexandria via LeMat-Bulk | PBE | optimized geometry; crystal system = monoclinic; size of the total moment = 0.000 Bohr magnetons per cell; formation energy from the elements = 21 meV per atom; space-group type = No. 11
1.0
-3.839 0.344 -3.453
-4.342 -5.376 4.292
-1.365 10.533 2.567
Tm Pm La Nd
2 6 2 2
direct
0.750 0.381 0.878
0.250 0.619 0.122
0.250 0.131 0.960
0.750 0.376 0.544
0.250 0.624 0.456
0.250 0.623 0.794
0.750 0.869 0.040
0.750 0.377 0.206
0.250 0.123 0.290
0.750 0.877 0.710
0.250 0.128 0.628
0.750 0.872 0.372

***

# 3
Gd2US5 | Alexandria via LeMat-Bulk | PBE | optimized geometry; crystal system = orthorhombic; ΔE_f (raw) = -1.81 eV per atom; size of the total moment = 63.376 Bohr magnetons per cell; space-group type = No. 62
1.0
7.417 0.000 0.000
0.000 7.949 0.000
0.000 0.000 11.783
S Gd U
20 8 4
direct
0.827 0.250 0.815
0.661 0.456 0.598
0.700 0.750 0.284
0.673 0.250 0.315
0.800 0.750 0.784
0.839 0.456 0.098
0.661 0.044 0.598
0.543 0.750 0.000
0.173 0.750 0.185
0.457 0.250 0.000
0.957 0.750 0.500
0.300 0.250 0.716
0.161 0.956 0.902
0.043 0.250 0.500
0.327 0.750 0.685
0.339 0.956 0.402
0.839 0.044 0.098
0.161 0.544 0.902
0.200 0.250 0.216
0.339 0.544 0.402
0.519 0.501 0.822
0.481 0.499 0.178
0.981 0.501 0.322
0.481 0.001 0.178
0.981 0.999 0.322
0.019 0.499 0.678
0.519 0.999 0.822
0.019 0.001 0.678
0.426 0.250 0.491
0.074 0.250 0.991
0.926 0.750 0.009
0.574 0.750 0.509

***

# 4
KY2Nb | Alexandria via LeMat-Bulk | PBE | optimized geometry; crystal system = tetragonal; size of the total moment = 0.000 Bohr magnetons per cell; formation energy from the elements = 1281 meV per atom; energy above the most stable polymorph in this dataset = 0.4756 eV/atom; space-group type = No. 122
1.0
-6.482 -2.190 4.640
2.021 -7.962 -0.935
1.120 -4.791 6.668
Y Nb K
4 2 2
direct
0.875 0.124 0.750
0.874 0.125 0.250
0.375 0.126 0.750
0.876 0.625 0.250
0.750 0.250 0.500
0.000 0.000 0.000
0.500 0.500 0.000
0.250 0.750 0.500

***

# 5
TaZnSnPd2 | Alexandria via LeMat-Bulk | PBE | optimized geometry; crystal system = tetragonal; size of the total moment = 0.000 Bohr magnetons per cell; formation energy from the elements = 609 meV per atom; energy above the most stable polymorph in this dataset = 0.0000 eV/atom; space-group type = No. 123
1.0
4.560 0.000 0.000
0.000 4.871 0.000
0.000 0.000 4.560
Sn Pd Zn Ta
1 2 1 1
direct
0.500 0.500 0.500
0.500 0.000 0.000
0.000 0.000 0.500
0.000 0.000 0.000
0.000 0.500 0.000

***

# 6
CaCrTeI2 | Alexandria via LeMat-Bulk | PBE | optimized geometry; crystal system = tetragonal; ΔE_f (raw) = -0.05 eV per atom; size of the total moment = 3.984 Bohr magnetons per cell; energy above the most stable polymorph in this dataset = 0.4275 eV/atom; space-group type = No. 123
1.0
5.946 0.000 0.000
0.000 5.946 0.000
0.000 0.000 6.144
I Cr Ca Te
2 1 1 1
direct
0.500 0.000 0.000
0.000 0.500 0.000
0.500 0.500 0.500
0.000 0.000 0.000
0.000 0.000 0.500

***

Which of these has the highest size of the total moment?
Gd2US5